First-principles (PBE-GGA) data for an optimized crystal structure of PaTiTe3, as listed in Alexandria.

Results
The total energy is -5.932 eV per atom. As for the uncorrected formation energy: -0.569 eV per atom. As for the calculated volume: 35.69 Å³/atom.

The structure in CIF format:
```
data_PaTiTe3
_chemical_formula_sum 'Pa4 Ti4 Te12'
_space_group_name_H-M_alt 'C m c 21'
_space_group_IT_number 36
_cell_length_a 4.163
_cell_length_b 24.097
_cell_length_c 7.117
_cell_angle_alpha 90.00
_cell_angle_beta 90.00
_cell_angle_gamma 90.00
loop_
_space_group_symop_operation_xyz
'x,y,z'
'-x,-y,z+1/2'
'-x,y,z'
'x,-y,z+1/2'
'x+1/2,y+1/2,z'
'-x+1/2,-y+1/2,z+1/2'
'-x+1/2,y+1/2,z'
'x+1/2,-y+1/2,z+1/2'
loop_
_atom_site_label
_atom_site_fract_x
_atom_site_fract_y
_atom_site_fract_z
Pa1 0.000 0.162 0.000
Ti1 0.000 0.382 0.157
Te1 0.000 0.054 0.779
Te2 0.000 0.272 0.264
Te3 0.000 0.384 0.772
```


First-principles (PBE-GGA) data for an optimized crystal structure of La4Zn, as listed in Alexandria.

Results
The total energy is -4.038 eV per atom. As for the calculated volume: 38.87 Å³/atom. Its formation energy is 0.158 eV per atom.

The structure in CIF format:
```
data_La4Zn
_chemical_formula_sum 'La4 Zn1'
_space_group_name_H-M_alt 'P m -3 m'
_space_group_IT_number 221
_space_group_name_Hall '-P 4 2 3'
_cell_length_a 5.793
_cell_length_b 5.793
_cell_length_c 5.793
_cell_angle_alpha 90.00
_cell_angle_beta 90.00
_cell_angle_gamma 90.00
loop_
_atom_site_label
_atom_site_fract_x
_atom_site_fract_y
_atom_site_fract_z
La1 0.000 0.000 0.000
La2 0.000 0.500 0.500
Zn1 0.500 0.500 0.500
```


First-principles (PBE-GGA) data for an optimized crystal structure of Ta2VPd, as listed in Alexandria.

Results
The total energy is -9.549 eV per atom. As for the calculated volume: 16.31 Å³/atom. Its formation energy is -0.045 eV per atom.

The structure in CIF format:
```
data_Ta2VPd
_chemical_formula_sum 'Ta2 V1 Pd1'
_space_group_name_H-M_alt 'P 1 2/m 1'
_space_group_IT_number 10
_cell_length_a 2.761
_cell_length_b 4.422
_cell_length_c 5.447
_cell_angle_alpha 90.00
_cell_angle_beta 101.19
_cell_angle_gamma 90.00
loop_
_space_group_symop_operation_xyz
'x,y,z'
'-x,-y,-z'
'-x,y,-z'
'x,-y,z'
loop_
_atom_site_label
_atom_site_fract_x
_atom_site_fract_y
_atom_site_fract_z
Ta1 0.227 0.000 0.263
V1 0.000 0.500 0.500
Pd1 0.500 0.500 0.000
```